# HgSe PBE relaxed
# - formation energy without anion corrections (eV per atom) = 0.01
data_HgSe
_chemical_formula_sum 'Hg4 Se4'
_cell_length_a 3.932
_cell_length_b 13.841
_cell_length_c 3.979
_cell_angle_alpha 90.00
_cell_angle_beta 90.00
_cell_angle_gamma 90.00
_space_group_name_H-M_alt 'C m c m'
_space_group_IT_number 63
_space_group_name_Hall '-C 2c 2'
loop_
_atom_site_label
_atom_site_type_symbol
_atom_site_fract_x
_atom_site_fract_y
_atom_site_fract_z
_atom_site_occupancy
Hg1 Hg 0.000 0.156 0.250 1
Se1 Se 0.000 0.370 0.250 1

=====

Entry from Alexandria via LeMat-Bulk: a relaxed structure of Sr2TlHAu (PBE).

The structure in CIF format:
```
data_Sr2TlHAu
_chemical_formula_sum 'Sr2 Tl1 H1 Au1'
_cell_length_a 5.603
_cell_length_b 5.603
_cell_length_c 3.965
_cell_angle_alpha 90.00
_cell_angle_beta 90.00
_cell_angle_gamma 90.00
_space_group_name_H-M_alt 'P 4/m m m'
_space_group_IT_number 123
_space_group_name_Hall '-P 4 2'
loop_
_atom_site_label
_atom_site_type_symbol
_atom_site_fract_x
_atom_site_fract_y
_atom_site_fract_z
_atom_site_occupancy
Sr1 Sr 0.000 0.500 0.000 1
Tl1 Tl 0.000 0.000 0.500 1
H1 H 0.500 0.500 0.000 1
Au1 Au 0.500 0.500 0.500 1
```

=====

# BeZn2Re PBE relaxed
# - E_form (eV per formula unit) = 2.10
data_BeZn2Re
_chemical_formula_sum 'Be4 Zn8 Re4'
_cell_length_a 3.483
_cell_length_b 3.483
_cell_length_c 18.114
_cell_angle_alpha 90.00
_cell_angle_beta 90.00
_cell_angle_gamma 90.00
_space_group_name_H-M_alt 'I -4 2 d'
_space_group_IT_number 122
_space_group_name_Hall 'I -4 2bw'
loop_
_atom_site_label
_atom_site_type_symbol
_atom_site_fract_x
_atom_site_fract_y
_atom_site_fract_z
_atom_site_occupancy
Be1 Be 0.000 0.000 0.000 1
Zn1 Zn 0.248 0.250 0.125 1
Re1 Re 0.000 0.000 0.500 1

=====

What E_tot values result from the calculations? In sequence: -1.887, -2.930, -4.157 eV/atom.
What Fermi-level density of states values result from the calculations? In sequence: 3.213, 2.119, 19.626 states/eV/cell.
What magnetic moment values result from the calculations? In sequence: 0.00, 0.00, 0.00 μB/cell.